Computed, not measured: an optimized crystal structure of Pr2MgAl3 at the GGA-PBE level of DFT.

Calculated values
As for the symmetry: No. 194. As for the formation energy: -0.395 eV/atom. The magnetic moment comes out at 0.00 Bohr magnetons per cell. The calculation puts the density of states at the Fermi level at 3.1 states/eV/f.u. For the total energy, the calculation gives -4.13 eV per atom. The value obtained for the calculated volume is 138.45 Å³/f.u.

abc: 5.874 5.874 9.266
angles: 90.00 90.00 120.00
Fractional positions:
Pr  0.667  0.333  0.426
Pr  0.333  0.667  0.574
Pr  0.333  0.667  0.926
Pr  0.667  0.333  0.074
Mg  0.000  0.000  0.500
Mg  0.000  0.000  0.000
Al  0.175  0.351  0.250
Al  0.351  0.175  0.750
Al  0.825  0.649  0.750
Al  0.175  0.825  0.250
Al  0.825  0.175  0.750
Al  0.649  0.825  0.250